[1]
Density functional theory data (PBE) for crystalline TbTmIr2 at its relaxed geometry.

Properties
Size of the total moment = 0.0 μB per cell
DOS(E_F) = 0.658 states/eV per atom
E above lowest polymorph = 7 meV per atom
DFT total energy = -7.546 eV/atom
Crystal system = cubic
Symmetry = Fm-3m
DFT formation energy = -0.840 eV/atom
Mass density = 14.9 g/cm3

abc: 4.826 4.826 4.826
angles: 60.00 60.00 60.00
Sites, in units of the cell vectors:
Ir (0.250, 0.250, 0.250)
Tb (0.500, 0.500, 0.500)
Ir (0.750, 0.750, 0.750)
Tm (0.000, 0.000, 0.000)

---

[2]
Density functional theory data (PBE) for crystalline TbTm2Ir at its relaxed geometry.

Properties
Size of the total moment = 0.0 μB per cell
DOS(E_F) = 1.257 states/eV per atom
E above lowest polymorph = 458 meV per atom
DFT total energy = -5.761 eV/atom
Crystal system = trigonal
Symmetry = R-3m
DFT formation energy = -0.153 eV/atom
Mass density = 9.3 g/cm3

abc: 3.702 3.702 10.636
angles: 79.98 79.98 60.00
Sites, in units of the cell vectors:
Tm (0.886, 0.886, 0.341)
Tb (0.000, 0.000, 0.000)
Ir (0.500, 0.500, 0.500)
Tm (0.114, 0.114, 0.659)

---

[3]
Density functional theory data (PBE) for crystalline TbTm4Ir5 at its relaxed geometry.

Properties
Size of the total moment = 0.0 μB per cell
DOS(E_F) = 0.244 states/eV per atom
DFT total energy = -7.566 eV/atom
Crystal system = tetragonal
Symmetry = P4/mmm
DFT formation energy = -0.883 eV/atom
Mass density = 15.3 g/cm3

abc: 3.315 3.315 17.723
angles: 90.00 90.00 90.00
Sites, in units of the cell vectors:
Tb (0.000, 0.000, 0.000)
Ir (0.500, 0.500, 0.104)
Ir (0.500, 0.500, 0.302)
Tm (0.000, 0.000, 0.599)
Ir (0.500, 0.500, 0.698)
Tm (0.000, 0.000, 0.202)
Ir (0.500, 0.500, 0.500)
Ir (0.500, 0.500, 0.896)
Tm (0.000, 0.000, 0.798)
Tm (0.000, 0.000, 0.401)

---

[4]
Density functional theory data (PBE) for crystalline TbTm3Ir4 at its relaxed geometry.

Properties
Size of the total moment = 0.0 μB per cell
DOS(E_F) = 0.530 states/eV per atom
DFT total energy = -7.562 eV/atom
Crystal system = tetragonal
Symmetry = P4/mmm
DFT formation energy = -0.876 eV/atom
Mass density = 15.2 g/cm3

abc: 4.877 6.585 9.755
angles: 90.00 90.00 90.00
Sites, in units of the cell vectors:
Ir (0.500, 0.247, 0.000)
Ir (0.500, 0.753, 0.000)
Tb (0.000, 0.500, 0.000)
Ir (0.000, 0.247, 0.250)
Tm (0.000, 0.000, 0.500)
Ir (0.000, 0.753, 0.750)
Ir (0.000, 0.753, 0.250)
Tm (0.500, 0.000, 0.750)
Tm (0.500, 0.000, 0.250)
Ir (0.500, 0.753, 0.500)
Tm (0.500, 0.500, 0.750)
Ir (0.500, 0.247, 0.500)
Tm (0.000, 0.000, 0.000)
Tm (0.500, 0.500, 0.250)
Tb (0.000, 0.500, 0.500)
Ir (0.000, 0.247, 0.750)

---

[5]
Density functional theory data (PBE) for crystalline TbTm8Ir6 at its relaxed geometry.

Properties
Size of the total moment = 0.0 μB per cell
DOS(E_F) = 0.536 states/eV per atom
DFT total energy = -7.087 eV/atom
Crystal system = trigonal
Symmetry = R-3
DFT formation energy = -0.849 eV/atom
Mass density = 12.8 g/cm3

abc: 7.575 7.575 7.575
angles: 65.52 65.52 65.52
Sites, in units of the cell vectors:
Ir (0.609, 0.278, 0.943)
Ir (0.943, 0.609, 0.278)
Tm (0.111, 0.777, 0.449)
Tm (0.777, 0.449, 0.111)
Tm (0.334, 0.334, 0.334)
Ir (0.278, 0.943, 0.609)
Tm (0.666, 0.666, 0.666)
Tm (0.551, 0.889, 0.223)
Tm (0.449, 0.111, 0.777)
Ir (0.722, 0.057, 0.391)
Ir (0.391, 0.722, 0.057)
Ir (0.057, 0.391, 0.722)
Tm (0.889, 0.223, 0.551)
Tm (0.223, 0.551, 0.889)
Tb (0.000, 0.000, 0.000)

---

[6]
Density functional theory data (PBE) for crystalline TbTmIr2 at its relaxed geometry.

Properties
Size of the total moment = 0.0 μB per cell
DOS(E_F) = 0.518 states/eV per atom
E above lowest polymorph = 4 meV per atom
DFT total energy = -7.549 eV/atom
Crystal system = orthorhombic
Symmetry = Pmma
DFT formation energy = -0.843 eV/atom
Mass density = 14.9 g/cm3

abc: 3.305 4.900 9.807
angles: 90.00 90.00 90.00
Sites, in units of the cell vectors:
Tb (0.500, 0.750, 0.626)
Ir (0.000, 0.250, 0.121)
Tm (0.500, 0.750, 0.123)
Ir (0.000, 0.750, 0.371)
Tb (0.500, 0.250, 0.374)
Ir (0.000, 0.250, 0.629)
Ir (0.000, 0.750, 0.879)
Tm (0.500, 0.250, 0.877)

---

[7]
Density functional theory data (PBE) for crystalline Tb2TmIr at its relaxed geometry.

Properties
Size of the total moment = 0.6 μB per cell
DOS(E_F) = 1.331 states/eV per atom
E above lowest polymorph = 224 meV per atom
DFT total energy = -6.005 eV/atom
Crystal system = tetragonal
Symmetry = P4/mmm
DFT formation energy = -0.357 eV/atom
Mass density = 10.6 g/cm3

abc: 3.517 3.517 8.631
angles: 90.00 90.00 90.00
Site moments in Bohr magnetons follow the coordinates.
Sites, in units of the cell vectors:
Ir (0.500, 0.500, 0.000)  0.04
Tb (0.000, 0.000, 0.812)  0.06
Tm (0.500, 0.500, 0.500)  0.26
Tb (0.000, 0.000, 0.188)  0.06

---

[8]
Density functional theory data (PBE) for crystalline Tb2Tm2Ir3 at its relaxed geometry.

Properties
Size of the total moment = 0.0 μB per cell
DOS(E_F) = 0.450 states/eV per atom
E above lowest polymorph = 0 meV per atom
DFT total energy = -7.250 eV/atom
Crystal system = monoclinic
Symmetry = C2/m
DFT formation energy = -0.852 eV/atom
Mass density = 13.1 g/cm3

abc: 4.769 4.771 8.396
angles: 89.94 106.60 120.03
Sites, in units of the cell vectors:
Tb (0.250, 0.125, 0.375)
Tm (0.750, 0.375, 0.125)
Tm (0.250, 0.625, 0.875)
Ir (0.498, 0.749, 0.246)
Tb (0.750, 0.875, 0.625)
Ir (0.000, 0.000, 0.000)
Ir (0.502, 0.251, 0.754)

---

[9]
Density functional theory data (PBE) for crystalline TbTmIr2 at its relaxed geometry.

Properties
Size of the total moment = 0.0 μB per cell
DOS(E_F) = 0.200 states/eV per atom
E above lowest polymorph = 0 meV per atom
DFT total energy = -7.553 eV/atom
Crystal system = tetragonal
Symmetry = P4/mmm
DFT formation energy = -0.847 eV/atom
Mass density = 14.9 g/cm3

abc: 3.569 4.713 4.713
angles: 90.00 90.00 90.00
Sites, in units of the cell vectors:
Ir (0.000, 0.500, 0.000)
Ir (0.000, 0.000, 0.500)
Tm (0.500, 0.000, 0.000)
Tb (0.500, 0.500, 0.500)

---

[10]
Density functional theory data (PBE) for crystalline TbTm2Ir at its relaxed geometry.

Properties
Size of the total moment = 0.0 μB per cell
DOS(E_F) = 1.242 states/eV per atom
E above lowest polymorph = 154 meV per atom
DFT total energy = -6.065 eV/atom
Crystal system = tetragonal
Symmetry = P4/mmm
DFT formation energy = -0.456 eV/atom
Mass density = 11.1 g/cm3

abc: 3.433 3.433 8.733
angles: 90.00 90.00 90.00
Sites, in units of the cell vectors:
Tb (0.500, 0.500, 0.500)
Tm (0.000, 0.000, 0.814)
Ir (0.500, 0.500, 0.000)
Tm (0.000, 0.000, 0.186)

---

[11]
Density functional theory data (PBE) for crystalline TbTm2Ir at its relaxed geometry.

Properties
Size of the total moment = 0.0 μB per cell
DOS(E_F) = 1.105 states/eV per atom
E above lowest polymorph = 36 meV per atom
DFT total energy = -6.183 eV/atom
Crystal system = orthorhombic
Symmetry = Cmcm
DFT formation energy = -0.574 eV/atom
Mass density = 11.0 g/cm3

abc: 3.871 6.314 8.975
angles: 90.00 90.00 107.86
Sites, in units of the cell vectors:
Tm (0.143, 0.286, 0.066)
Tb (0.428, 0.856, 0.250)
Tm (0.857, 0.714, 0.934)
Tb (0.572, 0.144, 0.750)
Tm (0.857, 0.714, 0.566)
Ir (0.248, 0.495, 0.750)
Ir (0.752, 0.505, 0.250)
Tm (0.143, 0.286, 0.434)

---

[12]
Density functional theory data (PBE) for crystalline Tb3Tm4Ir4 at its relaxed geometry.

Properties
Size of the total moment = 0.0 μB per cell
DOS(E_F) = 0.626 states/eV per atom
DFT total energy = -6.832 eV/atom
Crystal system = orthorhombic
Symmetry = Immm
DFT formation energy = -0.721 eV/atom
Mass density = 12.3 g/cm3

abc: 3.849 8.564 9.170
angles: 117.84 102.12 90.00
Sites, in units of the cell vectors:
Tm (0.332, 0.523, 0.665)
Tb (0.898, 0.898, 0.797)
Ir (0.500, 0.213, 0.000)
Ir (0.246, 0.746, 0.492)
Tm (0.668, 0.477, 0.335)
Ir (0.500, 0.787, 0.000)
Ir (0.754, 0.254, 0.508)
Tb (0.000, 0.500, 0.000)
Tm (0.668, 0.859, 0.335)
Tm (0.332, 0.141, 0.665)
Tb (0.102, 0.102, 0.203)

---

Please write out number 10 again, unchanged.
Density functional theory data (PBE) for crystalline TbTm2Ir at its relaxed geometry.

Properties
Size of the total moment = 0.0 μB per cell
DOS(E_F) = 1.242 states/eV per atom
E above lowest polymorph = 154 meV per atom
DFT total energy = -6.065 eV/atom
Crystal system = tetragonal
Symmetry = P4/mmm
DFT formation energy = -0.456 eV/atom
Mass density = 11.1 g/cm3

abc: 3.433 3.433 8.733
angles: 90.00 90.00 90.00
Sites, in units of the cell vectors:
Tb (0.500, 0.500, 0.500)
Tm (0.000, 0.000, 0.814)
Ir (0.500, 0.500, 0.000)
Tm (0.000, 0.000, 0.186)